No. 1
# MgCdInGe PBE-GGA relaxed
# E_form in meV per atom: 95
data_MgCdInGe
_chemical_formula_sum 'Mg4 Cd4 In4 Ge4'
_cell_length_a 7.137
_cell_length_b 7.137
_cell_length_c 7.137
_cell_angle_alpha 90.00
_cell_angle_beta 90.00
_cell_angle_gamma 90.00
_symmetry_space_group_name_H-M 'F -4 3 m'
_symmetry_Int_Tables_number 216
_symmetry_space_group_name_Hall 'F -4 2 3'
loop_
_atom_site_label
_atom_site_type_symbol
_atom_site_fract_x
_atom_site_fract_y
_atom_site_fract_z
Mg1 Mg 0.000 0.000 0.000
Cd1 Cd 0.250 0.250 0.750
In1 In 0.000 0.000 0.500
Ge1 Ge 0.250 0.250 0.250


No. 2
# HoEr2Pb PBE-GGA relaxed
# E_form in meV per atom: 51
# Energy above the lowest structure with this stoichiometry in kJ/mol of atoms: 31.6
data_HoEr2Pb
_chemical_formula_sum 'Ho3 Er6 Pb3'
_cell_length_a 3.5070
_cell_length_b 3.5070
_cell_length_c 35.7435
_cell_angle_alpha 90.00
_cell_angle_beta 90.00
_cell_angle_gamma 120.00
_symmetry_space_group_name_H-M 'R -3 m'
_symmetry_Int_Tables_number 166
_symmetry_space_group_name_Hall '-R 3 2"'
loop_
_atom_site_label
_atom_site_type_symbol
_atom_site_fract_x
_atom_site_fract_y
_atom_site_fract_z
Ho1 Ho 0.0000 0.0000 0.0000
Er1 Er 0.0000 0.0000 0.4117
Pb1 Pb 0.0000 0.0000 0.5000


No. 3
# ZrAlTc PBE-GGA relaxed
# E_form in meV per atom: 659
# Energy above the lowest structure with this stoichiometry in kJ/mol of atoms: 112.6
data_ZrAlTc
_chemical_formula_sum 'Zr4 Al4 Tc4'
_cell_length_a 6.337
_cell_length_b 6.337
_cell_length_c 6.337
_cell_angle_alpha 90.00
_cell_angle_beta 90.00
_cell_angle_gamma 90.00
_symmetry_space_group_name_H-M 'F -4 3 m'
_symmetry_Int_Tables_number 216
_symmetry_space_group_name_Hall 'F -4 2 3'
loop_
_atom_site_label
_atom_site_type_symbol
_atom_site_fract_x
_atom_site_fract_y
_atom_site_fract_z
Zr1 Zr 0.000 0.000 0.000
Al1 Al 0.250 0.250 0.750
Tc1 Tc 0.250 0.250 0.250


No. 4
# Tb3Sm2Er6Tm PBE-GGA relaxed
# E_form in meV per atom: 18
data_Tb3Sm2Er6Tm
_chemical_formula_sum 'Tb6 Sm4 Er12 Tm2'
_cell_length_a 6.127
_cell_length_b 10.606
_cell_length_c 11.703
_cell_angle_alpha 90.00
_cell_angle_beta 100.01
_cell_angle_gamma 90.00
_symmetry_space_group_name_H-M 'C 1 2/m 1'
_symmetry_Int_Tables_number 12
_symmetry_space_group_name_Hall '-C 2y'
loop_
_atom_site_label
_atom_site_type_symbol
_atom_site_fract_x
_atom_site_fract_y
_atom_site_fract_z
Tb1 Tb 0.000 0.000 0.000
Tb2 Tb 0.000 0.333 0.000
Sm1 Sm 0.000 0.166 0.500
Er1 Er 0.249 0.500 0.249
Er2 Er 0.250 0.166 0.249
Tm1 Tm 0.000 0.500 0.500


No. 5
# PrTmRe4 PBE-GGA relaxed
# E_form in meV per atom: -46
data_PrTmRe4
_chemical_formula_sum 'Pr4 Tm4 Re16'
_cell_length_a 7.722
_cell_length_b 7.722
_cell_length_c 7.722
_cell_angle_alpha 90.00
_cell_angle_beta 90.00
_cell_angle_gamma 90.00
_symmetry_space_group_name_H-M 'F -4 3 m'
_symmetry_Int_Tables_number 216
_symmetry_space_group_name_Hall 'F -4 2 3'
loop_
_atom_site_label
_atom_site_type_symbol
_atom_site_fract_x
_atom_site_fract_y
_atom_site_fract_z
Pr1 Pr 0.000 0.000 0.000
Tm1 Tm 0.250 0.250 0.250
Re1 Re 0.125 0.125 0.625


No. 6
# CaPSe PBE-GGA relaxed
# Formation energy (no corrections) in eV/atom: -1.08
data_CaPSe
_chemical_formula_sum 'Ca4 P4 Se4'
_cell_length_a 18.414
_cell_length_b 3.702
_cell_length_c 4.234
_cell_angle_alpha 90.00
_cell_angle_beta 102.18
_cell_angle_gamma 90.00
_symmetry_space_group_name_H-M 'C 1 m 1'
_symmetry_Int_Tables_number 8
_symmetry_space_group_name_Hall 'C -2y'
loop_
_atom_site_label
_atom_site_type_symbol
_atom_site_fract_x
_atom_site_fract_y
_atom_site_fract_z
Ca1 Ca 0.000 0.000 0.000
Ca2 Ca 0.196 0.000 0.633
P1 P 0.364 0.500 0.394
P2 P 0.367 0.000 0.736
Se1 Se 0.064 0.500 0.550
Se2 Se 0.237 0.500 0.168


No. 7
# Ta2TiN3 PBE-GGA relaxed
# Formation energy (no corrections) in eV/atom: -0.88
data_Ta2TiN3
_chemical_formula_sum 'Ta2 Ti1 N3'
_cell_length_a 5.2503
_cell_length_b 5.2503
_cell_length_c 2.9402
_cell_angle_alpha 90.00
_cell_angle_beta 90.00
_cell_angle_gamma 120.00
_symmetry_space_group_name_H-M 'P 6/m m m'
_symmetry_Int_Tables_number 191
_symmetry_space_group_name_Hall '-P 6 2'
loop_
_atom_site_label
_atom_site_type_symbol
_atom_site_fract_x
_atom_site_fract_y
_atom_site_fract_z
Ta1 Ta 0.3333 0.6667 0.0000
Ti1 Ti 0.0000 0.0000 0.5000
N1 N 0.0000 0.5000 0.5000


No. 8
# CsIr2RuS PBE-GGA relaxed
# Formation energy (no corrections) in eV/atom: 1.12
data_CsIr2RuS
_chemical_formula_sum 'Cs1 Ir2 Ru1 S1'
_cell_length_a 4.880
_cell_length_b 4.880
_cell_length_c 4.840
_cell_angle_alpha 90.00
_cell_angle_beta 90.00
_cell_angle_gamma 90.00
_symmetry_space_group_name_H-M 'P 4/m m m'
_symmetry_Int_Tables_number 123
_symmetry_space_group_name_Hall '-P 4 2'
loop_
_atom_site_label
_atom_site_type_symbol
_atom_site_fract_x
_atom_site_fract_y
_atom_site_fract_z
Cs1 Cs 0.000 0.000 0.000
Ir1 Ir 0.000 0.500 0.500
Ru1 Ru 0.500 0.500 0.500
S1 S 0.500 0.500 0.000


No. 9
# RbRh2Se2 PBE-GGA relaxed
# Formation energy (no corrections) in eV/atom: -0.47
# Energy above the lowest structure with this stoichiometry in kJ/mol of atoms: 0.0
data_RbRh2Se2
_chemical_formula_sum 'Rb2 Rh4 Se4'
_cell_length_a 4.111
_cell_length_b 4.111
_cell_length_c 13.754
_cell_angle_alpha 90.00
_cell_angle_beta 90.00
_cell_angle_gamma 90.00
_symmetry_space_group_name_H-M 'I 4/m m m'
_symmetry_Int_Tables_number 139
_symmetry_space_group_name_Hall '-I 4 2'
loop_
_atom_site_label
_atom_site_type_symbol
_atom_site_fract_x
_atom_site_fract_y
_atom_site_fract_z
Rb1 Rb 0.000 0.000 0.000
Rh1 Rh 0.000 0.500 0.250
Se1 Se 0.000 0.000 0.353


No. 10
# ThAgI6 PBE-GGA relaxed
# Formation energy (no corrections) in eV/atom: -0.72
data_ThAgI6
_chemical_formula_sum 'Th1 Ag1 I6'
_cell_length_a 7.195
_cell_length_b 8.000
_cell_length_c 8.042
_cell_angle_alpha 117.77
_cell_angle_beta 90.10
_cell_angle_gamma 114.34
_symmetry_space_group_name_H-M 'P -1'
_symmetry_Int_Tables_number 2
_symmetry_space_group_name_Hall '-P 1'
loop_
_atom_site_label
_atom_site_type_symbol
_atom_site_fract_x
_atom_site_fract_y
_atom_site_fract_z
Th1 Th 0.000 0.000 0.000
Ag1 Ag 0.500 0.000 0.500
I1 I 0.049 0.447 0.227
I2 I 0.274 0.175 0.763
I3 I 0.415 0.167 0.282


No. 11
# ZrNi3Br PBE-GGA relaxed
# Formation energy (no corrections) in eV/atom: 1.23
# Energy above the lowest structure with this stoichiometry in kJ/mol of atoms: 53.3
data_ZrNi3Br
_chemical_formula_sum 'Zr1 Ni3 Br1'
_cell_length_a 4.738
_cell_length_b 4.738
_cell_length_c 4.738
_cell_angle_alpha 90.00
_cell_angle_beta 90.00
_cell_angle_gamma 90.00
_symmetry_space_group_name_H-M 'P m -3 m'
_symmetry_Int_Tables_number 221
_symmetry_space_group_name_Hall '-P 4 2 3'
loop_
_atom_site_label
_atom_site_type_symbol
_atom_site_fract_x
_atom_site_fract_y
_atom_site_fract_z
Zr1 Zr 0.000 0.000 0.000
Ni1 Ni 0.000 0.000 0.500
Br1 Br 0.500 0.500 0.500